Entry 1:
# LiLa2TmTe5

A relaxed structure of LiLa2TmTe5 (GGA-PBE, Alexandria via LeMat-Bulk).

abc: 9.687 9.687 13.254
angles: 90.00 90.00 153.34
Fractional positions:
Li  0.060  0.940  0.500
Li  0.940  0.060  0.000
La  0.374  0.626  0.342
La  0.393  0.607  0.724
La  0.607  0.393  0.224
La  0.626  0.374  0.842
Tm  0.302  0.698  0.049
Tm  0.698  0.302  0.549
Te  0.002  0.998  0.819
Te  0.140  0.860  0.038
Te  0.191  0.809  0.389
Te  0.216  0.784  0.705
Te  0.452  0.548  0.106
Te  0.548  0.452  0.606
Te  0.784  0.216  0.205
Te  0.809  0.191  0.889
Te  0.860  0.140  0.538
Te  0.998  0.002  0.319

## Properties
Symmetry ... Cmc2_1, No. 36

Entry 2:
# Li3LaTm2Te6

A relaxed structure of Li3LaTm2Te6 (GGA-PBE, Alexandria via LeMat-Bulk).

abc: 7.603 7.603 7.494
angles: 99.75 99.75 120.01
Fractional positions:
Li  0.000  0.000  0.000
Li  0.335  0.665  0.000
Li  0.665  0.335  0.000
La  0.500  0.500  0.500
Tm  0.167  0.833  0.500
Tm  0.833  0.167  0.500
Te  0.067  0.415  0.245
Te  0.238  0.238  0.757
Te  0.415  0.067  0.245
Te  0.585  0.933  0.755
Te  0.762  0.762  0.243
Te  0.933  0.585  0.755

## Properties
Symmetry ... C2/m, No. 12

Entry 3:
# LiLa2TmTe4

A relaxed structure of LiLa2TmTe4 (GGA-PBE, Alexandria via LeMat-Bulk).

abc: 7.685 4.434 7.699
angles: 90.00 109.35 90.00
Fractional positions:
Li  0.000  0.000  0.000
La  0.500  0.000  0.500
La  0.500  0.500  0.000
Tm  0.000  0.500  0.500
Te  0.226  0.500  0.240
Te  0.227  0.000  0.746
Te  0.773  0.000  0.254
Te  0.774  0.500  0.760

## Properties
Symmetry ... P2/m, No. 10
N(E_F) ... 3.5 states/eV/f.u.

| no. | raw formation energy (meV per atom) | total DFT energy (no corrections) (eV/atom) |
| --- | --- | --- |
| 1 | -1420 | -4.970 |
| 2 | -1300 | -4.505 |
| 3 | -1405 | -5.006 |